[1]
Here is a relaxed Sm6As2Se3 crystal from Alexandria via LeMat-Bulk. Energies are from PBE.

E_form (uncorrected): -16.39 eV/f.u.
Symmetry: P-31m

```
11
Lattice="-3.246 -6.277 0.857 6.274 -3.186 0.428 -3.132 2.417 5.835" Properties=species:S:1:pos:R:3 pbc="T T T"
Sm -1.357 -4.922 2.740
Sm -4.491 -3.059 4.513
Sm -1.376 -4.363 6.756
Sm 1.254 -2.125 4.380
Sm 4.388 -3.988 2.608
Sm 1.273 -2.683 0.365
As -1.619 -2.588 4.462
As 1.515 -4.458 2.659
Se -0.107 -7.595 3.088
Se 0.003 0.548 4.033
Se -1.623 -3.138 0.429
```

---

[2]
Here is a relaxed BaPdAu11 crystal from Alexandria via LeMat-Bulk. Energies are from PBE.

Symmetry: C2/m
Formation energy: -0.2111 eV per atom

```
13
Lattice="5.224 0.114 2.176 2.682 6.915 1.117 0.022 0.057 7.304" Properties=species:S:1:pos:R:3 pbc="T T T"
Ba 0.000 0.000 0.000
Pd 3.953 3.515 1.647
Au 2.048 1.587 2.459
Au 5.881 5.500 8.140
Au 4.719 5.443 3.571
Au 3.210 1.644 7.027
Au 3.715 4.541 6.287
Au 4.214 2.546 4.312
Au 6.051 2.603 7.260
Au 1.878 4.484 3.339
Au 1.341 3.457 0.559
Au 2.623 0.086 4.740
Au 0.011 0.029 3.652
```

---

[3]
Here is a relaxed RbBa3V crystal from Alexandria via LeMat-Bulk. Energies are from PBE.

Symmetry: Pm-3m
Formation energy: 1.3392 eV per atom
Distance to the lowest polymorph of the same formula: 0.8166 eV per atom

```
5
Lattice="-5.819 -2.961 1.475 1.161 -4.623 -4.700 3.098 -3.830 4.532" Properties=species:S:1:pos:R:3 pbc="T T T"
Ba 0.580 -2.311 -2.350
Ba 1.549 -1.915 2.266
Ba -2.910 -1.481 0.738
Rb 0.000 0.000 0.000
V -0.780 -5.707 0.654
```

---

[4]
Here is a relaxed NiB2Mo2 crystal from Alexandria via LeMat-Bulk. Energies are from PBE.

Symmetry: P4/mbm
Formation energy: -0.4327 eV per atom
Distance to the lowest polymorph of the same formula: 0.0525 eV per atom

```
10
Lattice="5.713 0.000 0.000 0.000 5.713 0.000 0.000 0.000 3.210" Properties=species:S:1:pos:R:3 pbc="T T T"
Ni 0.000 0.000 0.000
Ni 2.856 2.856 0.000
Mo 1.016 3.872 1.605
Mo 3.872 4.697 1.605
Mo 4.697 1.841 1.605
Mo 1.841 1.016 1.605
B 2.218 5.074 0.000
B 5.074 3.495 0.000
B 3.495 0.639 0.000
B 0.639 2.218 0.000
```

---

[5]
Here is a relaxed Ca4TeN12 crystal from Alexandria via LeMat-Bulk. Energies are from PBE.

E_form (uncorrected): -4.23 eV/f.u.
Symmetry: Im-3

```
17
Lattice="6.845 0.000 -2.420 -3.423 5.928 -2.420 0.000 0.000 7.260" Properties=species:S:1:pos:R:3 pbc="T T T"
Ca -1.711 2.964 -1.210
Ca 0.000 0.000 3.630
Ca 3.423 0.000 -1.210
Ca 1.711 2.964 1.210
Te 0.000 0.000 0.000
N 4.676 1.336 1.669
N 3.832 2.547 -1.432
N 0.699 3.883 -0.989
N 0.072 2.547 3.171
N 2.723 2.045 3.409
N -0.409 3.381 3.852
N 1.181 4.717 -1.670
N 2.242 1.211 4.090
N 3.350 3.381 -0.751
N 3.713 1.336 0.989
N -0.290 4.592 1.431
N -1.253 4.592 0.751
```

---

[6]
Here is a relaxed BeGeTe2P crystal from Alexandria via LeMat-Bulk. Energies are from PBE.

E_form (uncorrected): 3.15 eV/f.u.
Symmetry: P4/mmm

```
5
Lattice="-1.846 0.355 -4.688 -3.987 -0.475 1.534 -0.392 5.008 0.533" Properties=species:S:1:pos:R:3 pbc="T T T"
P -3.113 2.444 -1.310
Ge -1.994 -0.238 0.767
Te -0.196 2.504 0.267
Te -0.923 0.177 -2.344
Be 0.000 0.000 0.000
```

---

Calculated DOS(E_F) in order - 6.4, 4.4, 12.1, 4.0, 9.2, 2.8 states/eV per cell